Sr2TaTl3Te6: relaxed, PBE.

Total magnetic moment   0.00 μB per cell
VASP energy   -4.16 eV per atom

a b c (Å): 7.9783 13.6936 8.3093
angles (deg): 90.00 108.45 90.00
Closest atoms and distances in Å follow each position.
Space group C2/m (No. 12)
One atom of each set of equivalent atoms:
1 Sr 0.0000 0.1654 0.0000 x4  6 Te 3.30-3.32
2 Ta 0.0000 0.5000 0.0000 x2  6 Te 2.84-2.88
3 Tl 0.0000 0.0000 0.5000 x2  6 Te 3.36-3.73
4 Tl 0.0000 0.3303 0.5000 x4  6 Te 3.34-3.73
5 Te 0.2143 0.5000 0.7787 x4  1 Ta 2.88
6 Te 0.2158 0.3557 0.2130 x8  1 Ta 2.84